Sm4I5N2 after structural relaxation. Source: OQMD via LeMat-Bulk, functional PBE.

volume = 29.36 Å³ per atom
E_tot = -5.107 eV/atom
total magnetic moment = 0.01 μB per formula unit

Unit cell a=19.5504 b=3.8981 c=8.6976 alpha=90.00 beta=103.00 gamma=90.00
Closest atoms and distances in Å follow each position.
Space group C2/m (No. 12)
Asymmetric unit:
Sm 0.0007 0.0000 0.1830  4 N 2.60-2.61
Sm 0.1525 0.5000 0.0798  1 N 2.22
I 0.0000 0.5000 0.5000  4 Sm 3.38
I 0.1623 0.0000 0.3639  3 Sm 3.12-3.20
I 0.1703 0.0000 0.8051  4 Sm 3.16-3.38
N 0.0359 0.5000 0.0170  1 N 1.37



Sm2Tm2I5N after structural relaxation. Source: OQMD via LeMat-Bulk, functional PBE.

volume = 32.41 Å³ per atom
E_tot = -4.709 eV/atom
total magnetic moment = 0.00 μB per formula unit

Unit cell a=19.4891 b=3.9344 c=8.6550 alpha=90.00 beta=102.39 gamma=90.00
Closest atoms and distances in Å follow each position.
Space group C2/m (No. 12)
Asymmetric unit:
Sm 0.0006 0.0000 0.3083  2 N 2.57
Tm 0.1198 0.5000 0.5590  1 N 2.28
I 0.0000 0.5000 0.0000  4 Sm 3.31
I 0.1633 0.0000 0.8272  2 Tm 3.02, 1 Sm 3.16
I 0.1656 0.0000 0.3339  2 Tm 3.03, 1 Sm 3.18
N 0.0000 0.5000 0.5000  2 Tm 2.28